Material: CsAgBi2Se4
Method: DFT, PBE
State: optimized geometry

Values from the calculation:
**Raw total energy**: -3.6852 eV/atom
**Density of states at the Fermi level**: 0.035 states/eV/atom

abc: 4.3934 14.6578 15.6232
angles: 90.00 90.00 90.00
Space group Cmcm (No. 63)
One atom of each set of equivalent atoms:
Cs  0.0000  0.1136  0.2500 (multiplicity 4)
Ag  0.0000  0.1626  0.7500 (multiplicity 4)
Bi  0.0000  0.3674  0.0598 (multiplicity 8)
Se  0.0000  0.0000  0.0000 (multiplicity 4)
Se  0.0000  0.2607  0.5996 (multiplicity 8)
Se  0.0000  0.4273  0.2500 (multiplicity 4)

Material: Li7Ag2Hg3
Method: DFT, PBE
State: optimized geometry

Values from the calculation:
**Raw total energy**: -1.8441 eV/atom
**Density of states at the Fermi level**: 0.396 states/eV/atom

abc: 4.4365 23.6524 4.3445
angles: 90.00 90.00 90.00
Space group Cmmm (No. 65)
One atom of each set of equivalent atoms:
Li  0.0000  0.0000  0.0000 (multiplicity 2)
Li  0.0000  0.0811  0.5000 (multiplicity 4)
Li  0.0000  0.2779  0.0000 (multiplicity 4)
Li  0.0000  0.4195  0.0000 (multiplicity 4)
Ag  0.0000  0.1543  0.0000 (multiplicity 4)
Hg  0.0000  0.3453  0.5000 (multiplicity 4)
Hg  0.0000  0.5000  0.5000 (multiplicity 2)

Material: Nd4EuY
Method: DFT, PBE
State: optimized geometry

Values from the calculation:
**Raw total energy**: -5.7513 eV/atom
**Density of states at the Fermi level**: 1.731 states/eV/atom

abc: 9.6479 9.6479 9.6479
angles: 90.00 90.00 90.00
Space group F-43m (No. 216)
One atom of each set of equivalent atoms:
Nd  0.1228  0.1228  0.3772 (multiplicity 16)
Eu  0.0000  0.0000  0.0000 (multiplicity 4)
Y  0.2500  0.2500  0.7500 (multiplicity 4)

Material: AsPC2
Method: DFT, PBE
State: optimized geometry

Values from the calculation:
**Raw total energy**: -6.5836 eV/atom
**E above lowest polymorph**: 0.0 kJ/mol of atoms

abc: 5.2214 3.0148 7.9805
angles: 90.00 90.32 90.00
Space group Cm (No. 8)
One atom of each set of equivalent atoms:
As  0.0000  0.0000  0.0000 (multiplicity 2)
P  0.1631  0.5000  0.5813 (multiplicity 2)
C  0.3307  0.0000  0.6885 (multiplicity 2)
C  0.3323  0.0000  0.8776 (multiplicity 2)

Material: ThNp2PaAs4
Method: DFT, PBE
State: optimized geometry

Values from the calculation:
**Raw total energy**: -8.6329 eV/atom
**Density of states at the Fermi level**: 2.918 states/eV/atom

abc: 7.1422 4.1635 7.2166
angles: 90.00 109.66 90.00
Space group P2/m (No. 10)
One atom of each set of equivalent atoms:
Th  0.0000  0.0000  0.0000 (multiplicity 1)
Np  0.5000  0.0000  0.5000 (multiplicity 1)
Np  0.5000  0.5000  0.0000 (multiplicity 1)
Pa  0.0000  0.5000  0.5000 (multiplicity 1)
As  0.2521  0.0000  0.7450 (multiplicity 2)
As  0.2562  0.5000  0.2581 (multiplicity 2)

Material: Tl3Ag2Te3
Method: DFT, PBE
State: optimized geometry

Values from the calculation:
**Raw total energy**: -2.9566 eV/atom
**Density of states at the Fermi level**: 0.267 states/eV/atom

abc: 4.8636 12.6883 16.4438
angles: 90.00 90.00 90.00
Space group Cmcm (No. 63)
One atom of each set of equivalent atoms:
Tl  0.0000  0.0942  0.1170 (multiplicity 8)
Tl  0.0000  0.3831  0.2500 (multiplicity 4)
Ag  0.0000  0.2121  0.5912 (multiplicity 8)
Te  0.0000  0.3016  0.7500 (multiplicity 4)
Te  0.0000  0.3777  0.0354 (multiplicity 8)

Number 1: volume 1006.1 Å³/cell. Number 2: volume 455.9 Å³/cell. Number 3: volume 898.1 Å³/cell. Number 4: volume 125.6 Å³/cell. Number 5: volume 202.1 Å³/cell. Number 6: volume 1014.8 Å³/cell.